## NdSm2OsN4 (PBE)

Data for a relaxed structure of NdSm2OsN4.

As for the magnetic moment: 0.0000 μB per atom. For the formation energy (no corrections), the calculation gives -0.846 eV per atom.

It has space group Cmcm (No. 63), with a = 3.481 Å, b = 11.936 Å, c = 11.982 Å, α = 90.00°, β = 90.00° and γ = 90.00°. The asymmetric unit holds Nd at (0.000, 0.121, 0.250), Sm at (0.000, 0.368, 0.041), Os at (0.000, 0.145, 0.750), N at (0.000, 0.000, 0.000), N at (0.000, 0.270, 0.633) and N at (0.000, 0.434, 0.250).

=====

## SrNd2OsN4 (PBE)

Data for a relaxed structure of SrNd2OsN4.

As for the magnetic moment: 0.0000 μB per atom. For the formation energy (no corrections), the calculation gives -0.695 eV per atom.

It has space group Cmcm (No. 63), with a = 3.588 Å, b = 12.345 Å, c = 12.502 Å, α = 90.00°, β = 90.00° and γ = 90.00°. The asymmetric unit holds Sr at (0.000, 0.067, 0.250), Nd at (0.000, 0.369, 0.042), Os at (0.000, 0.189, 0.750), N at (0.000, 0.000, 0.000), N at (0.000, 0.259, 0.616) and N at (0.000, 0.391, 0.250).

=====

## Sr2NdOs2N6 (PBE)

Data for a relaxed structure of Sr2NdOs2N6.

As for the magnetic moment: 0.0000 μB per atom. For the formation energy (no corrections), the calculation gives -0.395 eV per atom.

It has space group R-3m (No. 166, hexagonal axes), with a = 6.0138 Å, b = 6.0138 Å, c = 18.4970 Å, α = 90.00°, β = 90.00° and γ = 120.00°. The asymmetric unit holds Sr at (0.0000, 0.0000, 0.2092), Nd at (0.0000, 0.0000, 0.0000), Os at (0.0000, 0.0000, 0.4040) and N at (0.0007, 0.5004, 0.2406).

=====

## NdTh2OsN5 (PBE)

Data for a relaxed structure of NdTh2OsN5.

As for the magnetic moment: 0.0000 μB per atom. For the formation energy (no corrections), the calculation gives -0.958 eV per atom.

It has space group I4/mcm (No. 140), with a = 6.764 Å, b = 6.764 Å, c = 11.904 Å, α = 90.00°, β = 90.00° and γ = 90.00°. The asymmetric unit holds Nd at (0.000, 0.000, 0.250), Th at (0.180, 0.320, 0.000), Os at (0.000, 0.500, 0.250), N at (0.000, 0.000, 0.000) and N at (0.144, 0.356, 0.363).

=====

## NdY2OsN4 (PBE)

Data for a relaxed structure of NdY2OsN4.

As for the magnetic moment: 0.0000 μB per atom. For the formation energy (no corrections), the calculation gives -0.937 eV per atom.

It has space group Cmcm (No. 63), with a = 3.442 Å, b = 11.737 Å, c = 11.721 Å, α = 90.00°, β = 90.00° and γ = 90.00°. The asymmetric unit holds Nd at (0.000, 0.120, 0.250), Y at (0.000, 0.369, 0.041), Os at (0.000, 0.143, 0.750), N at (0.000, 0.000, 0.000), N at (0.000, 0.267, 0.628) and N at (0.000, 0.441, 0.250).

=====

## Nd2P2N5 (PBE)

Data for a relaxed structure of Nd2P2N5.

As for the magnetic moment: 0.0000 μB per atom. For the formation energy (no corrections), the calculation gives -0.715 eV per atom.

It has space group Ima2 (No. 46), with a = 15.291 Å, b = 5.700 Å, c = 5.319 Å, α = 90.00°, β = 90.00° and γ = 90.00°. The asymmetric unit holds Nd at (0.113, 0.020, 0.000), P at (0.000, 0.000, 0.466), P at (0.250, 0.578, 0.988), N at (0.007, 0.730, 0.780), N at (0.159, 0.064, 0.526) and N at (0.250, 0.680, 0.681).

=====

## NdPN (PBE)

Data for a relaxed structure of NdPN.

As for the magnetic moment: 0.0000 μB per atom. For the formation energy (no corrections), the calculation gives -0.687 eV per atom.

It has space group I4mm (No. 107), with a = 3.599 Å, b = 3.599 Å, c = 9.233 Å, α = 90.00°, β = 90.00° and γ = 90.00°. The asymmetric unit holds Nd at (0.000, 0.000, 0.000), P at (0.000, 0.000, 0.325) and N at (0.000, 0.000, 0.511).

=====

## Nd6P2N (PBE)

Data for a relaxed structure of Nd6P2N.

As for the magnetic moment: 0.0688 μB per atom. For the formation energy (no corrections), the calculation gives -0.925 eV per atom.

It has space group P2_1/c (No. 14), with a = 6.525 Å, b = 7.523 Å, c = 11.326 Å, α = 90.00°, β = 122.45° and γ = 90.00°. The asymmetric unit holds Nd at (0.098, 0.034, 0.244), Nd at (0.204, 0.706, 0.061), Nd at (0.386, 0.175, 0.053), P at (0.320, 0.120, 0.758) and N at (0.000, 0.000, 0.000).

=====

| no. | final energy (eV/cell) | DOS(E_F) (states/eV/cell) | ρ (g cm⁻³) |
| --- | --- | --- | --- |
| 1 | -262.0 | 8.5 | 9.22 |
| 2 | -245.2 | 12.1 | 7.47 |
| 3 | -254.7 | 11.9 | 6.74 |
| 4 | -324.3 | 25.2 | 10.59 |
| 5 | -278.9 | 10.4 | 7.97 |
| 6 | -273.7 | 4.7 | 6.02 |
| 7 | -41.1 | 3.9 | 5.25 |
| 8 | -112.2 | 18.3 | 6.66 |